1.
{"formula": "LaCeY2As4", "functional": "PBE", "state": "optimized geometry", "rho_g_cm3": 5.9, "magmom_total_mub_per_cell": 0.64, "spacegroup": "P2/m, No. 10", "formation_energy_kj_per_mol_atoms": -147.07, "lattice": [[-2.802, -1.558, 2.737], [0.635, -6.564, -3.086], [5.325, -3.749, 3.317]], "species": ["Y", "Y", "Ce", "As", "As", "As", "As", "La"], "frac_coords": [[0.000, 0.000, 0.000], [0.500, 0.000, 0.500], [0.500, 0.500, 0.000], [0.000, 0.757, 0.752], [0.500, 0.759, 0.242], [0.500, 0.241, 0.758], [0.000, 0.243, 0.248], [0.000, 0.500, 0.500]]}

***

2.
{"formula": "PuCdTeO6", "functional": "PBE", "state": "optimized geometry", "rho_g_cm3": 7.3, "magmom_total_mub_per_cell": 4.00, "formation_energy_uncorrected_ev_per_atom": -1.603, "spacegroup": "P-31c, No. 163", "lattice": [[5.678, 0.000, 0.000], [-2.839, 4.917, 0.000], [0.000, 0.000, 9.491]], "species": ["Te", "Te", "O", "O", "O", "O", "O", "O", "O", "O", "O", "O", "O", "O", "Pu", "Pu", "Cd", "Cd"], "frac_coords": [[0.667, 0.333, 0.750], [0.333, 0.667, 0.250], [0.007, 0.647, 0.864], [0.640, 0.647, 0.636], [0.647, 0.640, 0.136], [0.640, 0.993, 0.864], [0.993, 0.640, 0.364], [0.353, 0.360, 0.864], [0.993, 0.353, 0.136], [0.360, 0.353, 0.364], [0.353, 0.993, 0.636], [0.647, 0.007, 0.364], [0.360, 0.007, 0.136], [0.007, 0.360, 0.636], [0.333, 0.667, 0.750], [0.667, 0.333, 0.250], [0.000, 0.000, 0.000], [0.000, 0.000, 0.500]]}